# 1
This record from Alexandria describes a geometry-optimized MnSi2N structure. The functional is PBE.

Calculated values
* energy relative to the elements, uncorrected: -210 meV/atom

a = 6.8355 Å, b = 6.8355 Å, c = 6.8355 Å
α = 24.31°, β = 24.31°, γ = 24.31°
Fractional positions:
Mn: 0.0000 0.0000 0.0000
Si: 0.4118 0.4118 0.4118
Si: 0.5310 0.5310 0.5310
N: 0.8971 0.8971 0.8971

=====

# 2
This record from Alexandria describes a geometry-optimized Cs2LaP structure. The functional is PBE.

Calculated values
* ΔH_f (0 K): -0.110 eV per atom

a = 10.0994 Å, b = 10.0994 Å, c = 10.0994 Å
α = 94.44°, β = 94.44°, γ = 147.71°
Fractional positions:
Cs: 0.3750 0.2224 0.3474
Cs: 0.7776 0.1250 0.1526
Cs: 0.8750 0.0276 0.6526
Cs: 0.9724 0.6250 0.8474
La: 0.2500 0.7500 0.5000
La: 0.5000 0.5000 0.0000
P: 0.0000 0.0000 0.0000
P: 0.7500 0.2500 0.5000

=====

# 3
This record from Alexandria describes a geometry-optimized CeEuSn structure. The functional is PBE.

Calculated values
* ΔH_f (0 K): -0.399 eV per atom

a = 5.8352 Å, b = 5.8352 Å, c = 5.8352 Å
α = 137.39°, β = 137.39°, γ = 61.84°
Fractional positions:
Ce: 0.0000 0.0000 0.0000
Eu: 0.3035 0.3035 0.0000
Sn: 0.6473 0.6473 0.0000

=====

Number 1: D(E_F) 2.45 states/eV/f.u., E_tot -29.18 eV/cell. Number 2: D(E_F) 0.56 states/eV/f.u., E_tot -24.97 eV/cell. Number 3: D(E_F) 6.51 states/eV/f.u., E_tot -21.41 eV/cell.